Compound: IrIOF2
Source: Alexandria via LeMat-Bulk
Functional: PBE
Structure: optimized geometry

a b c (Å): 4.611 4.611 3.699
angles (deg): 90.00 90.00 90.00
Fractional positions:
I 0.500 0.500 0.500
Ir 0.000 0.000 0.000
O 0.000 0.000 0.500
F 0.000 0.500 0.000
F 0.500 0.000 0.000

**Formation energy from raw total energies**: -309 meV/atom
**Excess energy over the best structure of this formula in the dataset**: 0 meV/atom
**D(E_F)**: 1.637 states/eV per atom
**Crystal system**: tetragonal
**Total DFT energy (no corrections)**: -20.7 eV per cell
**Space-group type**: P4/mmm, No. 123

Compound: TbThAgC
Source: Alexandria via LeMat-Bulk
Functional: PBE
Structure: optimized geometry

a b c (Å): 3.648 3.636 8.046
angles (deg): 90.04 103.09 120.03
Fractional positions:
Tb 0.513 0.154 0.682
Th 0.091 0.944 0.049
Ag 0.976 0.386 0.378
C 0.298 0.547 0.861

**D(E_F)**: 0.659 states/eV per atom
**Crystal system**: monoclinic
**Total DFT energy (no corrections)**: -25.0 eV per cell
**Energy of formation from the pure elements**: -20.9 kJ/mol of atoms
**Space-group type**: Cm, No. 8

Compound: ScH6Rh5
Source: Alexandria via LeMat-Bulk
Functional: PBE
Structure: optimized geometry

a b c (Å): 5.012 5.011 5.058
angles (deg): 80.00 60.26 69.57
Fractional positions:
Sc 0.000 0.000 0.000
H 0.463 0.756 0.601
H 0.938 0.244 0.601
H 0.271 0.275 0.001
H 0.729 0.725 0.999
H 0.062 0.756 0.399
H 0.537 0.244 0.399
Rh 0.836 0.499 0.328
Rh 0.663 0.000 0.673
Rh 0.500 0.500 0.000
Rh 0.337 0.000 0.327
Rh 0.164 0.501 0.672

**D(E_F)**: 0.692 states/eV per atom
**Crystal system**: triclinic
**Total DFT energy (no corrections)**: -66.2 eV per cell
**Space-group type**: P-1, No. 2

Compound: BaNaCd6
Source: Alexandria via LeMat-Bulk
Functional: PBE
Structure: optimized geometry

a b c (Å): 6.142 6.142 6.142
angles (deg): 90.00 90.00 90.00
Fractional positions:
Ba 0.500 0.500 0.500
Na 0.000 0.000 0.000
Cd 0.500 0.763 0.000
Cd 0.763 0.000 0.500
Cd 0.000 0.500 0.237
Cd 0.237 0.000 0.500
Cd 0.500 0.237 0.000
Cd 0.000 0.500 0.763

**Excess energy over the best structure of this formula in the dataset**: 112 meV/atom
**D(E_F)**: 0.413 states/eV per atom
**Crystal system**: cubic
**Total DFT energy (no corrections)**: -9.1 eV per cell
**Energy of formation from the pure elements**: -5.0 kJ/mol of atoms
**Space-group type**: Pm-3, No. 200

Compound: RbPrCuI6
Source: Alexandria via LeMat-Bulk
Functional: PBE
Structure: optimized geometry

a b c (Å): 8.816 7.507 8.249
angles (deg): 83.08 77.93 53.98
Site moments in Bohr magnetons follow the coordinates.
Fractional positions:
Rb 0.055 0.890 0.000  0.00
Pr 0.689 0.622 0.500  0.00
Cu 0.327 0.347 0.500  0.29
I 0.000 0.371 0.203  0.02
I 0.379 0.050 0.729  0.10
I 0.626 0.375 0.799  0.02
I 0.980 0.651 0.652  0.08
I 0.372 0.647 0.346  0.08
I 0.572 0.046 0.271  0.10

**Formation energy from raw total energies**: -950 meV/atom
**D(E_F)**: 0.317 states/eV per atom
**Crystal system**: triclinic
**Total DFT energy (no corrections)**: -27.7 eV per cell
**Space-group type**: P1, No. 1

Compound: Sm2AlVS6
Source: Alexandria via LeMat-Bulk
Functional: PBE
Structure: optimized geometry

a b c (Å): 6.316 6.899 9.133
angles (deg): 90.00 89.60 90.00
Site moments in Bohr magnetons follow the coordinates.
Fractional positions:
Sm 0.039 0.899 0.249  0.02
Sm 0.539 0.601 0.749  0.02
Sm 0.961 0.101 0.751  0.02
Sm 0.461 0.399 0.251  0.02
Al 0.500 0.000 0.500  0.01
Al 0.000 0.500 0.000  0.01
V 0.500 0.000 0.000  1.81
V 0.000 0.500 0.500  1.81
S 0.319 0.686 0.053  -0.02
S 0.819 0.814 0.553  -0.02
S 0.681 0.314 0.947  -0.02
S 0.181 0.186 0.447  -0.02
S 0.319 0.689 0.446  -0.02
S 0.819 0.811 0.946  -0.02
S 0.681 0.311 0.554  -0.02
S 0.181 0.189 0.054  -0.02
S 0.883 0.522 0.249  -0.03
S 0.383 0.978 0.749  -0.03
S 0.117 0.478 0.751  -0.03
S 0.617 0.022 0.251  -0.03

**Formation energy from raw total energies**: -1492 meV/atom
**D(E_F)**: 0.512 states/eV per atom
**Crystal system**: monoclinic
**Total DFT energy (no corrections)**: -124.0 eV per cell
**Space-group type**: P2_1/c, No. 14

Compound: ZnCrP2
Source: Alexandria via LeMat-Bulk
Functional: PBE
Structure: optimized geometry

a b c (Å): 2.589 2.589 9.506
angles (deg): 90.00 90.00 104.36
Fractional positions:
Cr 0.500 0.500 0.745
P 0.000 0.000 0.923
P 0.500 0.500 0.306
Zn 0.000 0.000 0.526

**D(E_F)**: 0.569 states/eV per atom
**Crystal system**: orthorhombic
**Total DFT energy (no corrections)**: -20.6 eV per cell
**Energy of formation from the pure elements**: 26.5 kJ/mol of atoms
**Space-group type**: Cmm2, No. 35

Compound: LaMgIn2Co
Source: Alexandria via LeMat-Bulk
Functional: PBE
Structure: optimized geometry

a b c (Å): 5.091 5.091 4.977
angles (deg): 90.00 90.00 90.00
Fractional positions:
Mg 0.500 0.500 0.500
In 0.000 0.500 0.000
In 0.500 0.000 0.000
Co 0.000 0.000 0.000
La 0.000 0.000 0.500

**D(E_F)**: 0.488 states/eV per atom
**Crystal system**: tetragonal
**Total DFT energy (no corrections)**: -20.2 eV per cell
**Energy of formation from the pure elements**: -20.7 kJ/mol of atoms
**Space-group type**: P4/mmm, No. 123

Compound: Zr3HIr2
Source: Alexandria via LeMat-Bulk
Functional: PBE
Structure: optimized geometry

a b c (Å): 5.578 6.429 6.561
angles (deg): 97.16 115.16 90.00
Fractional positions:
Zr 0.384 0.250 0.000
Zr 0.616 0.750 0.000
Zr 0.044 0.158 0.307
Zr 0.737 0.342 0.693
Zr 0.263 0.658 0.307
Zr 0.956 0.842 0.693
H 0.980 0.750 0.000
H 0.020 0.250 0.000
Ir 0.751 0.518 0.332
Ir 0.581 0.018 0.332
Ir 0.419 0.982 0.668
Ir 0.249 0.482 0.668

**D(E_F)**: 0.693 states/eV per atom
**Crystal system**: monoclinic
**Total DFT energy (no corrections)**: -100.2 eV per cell
**Space-group type**: C2/c, No. 15

Compound: CaMgSe2N
Source: Alexandria via LeMat-Bulk
Functional: PBE
Structure: optimized geometry

a b c (Å): 5.489 5.489 4.472
angles (deg): 90.00 90.00 90.00
Site moments in Bohr magnetons follow the coordinates.
Fractional positions:
Ca 0.000 0.000 0.000  0.02
Mg 0.500 0.500 0.500  0.00
Se 0.000 0.500 0.000  0.11
Se 0.500 0.000 0.000  0.11
N 0.000 0.000 0.500  1.37

**Formation energy from raw total energies**: 304 meV/atom
**Excess energy over the best structure of this formula in the dataset**: 562 meV/atom
**D(E_F)**: 0.696 states/eV per atom
**Crystal system**: tetragonal
**Total DFT energy (no corrections)**: -17.4 eV per cell
**Space-group type**: P4/mmm, No. 123

Compound: CsCuHg2
Source: Alexandria via LeMat-Bulk
Functional: PBE
Structure: optimized geometry

a b c (Å): 5.791 5.791 5.791
angles (deg): 60.00 60.00 60.00
Fractional positions:
Cs 0.500 0.500 0.500
Hg 0.250 0.250 0.250
Hg 0.750 0.750 0.750
Cu 0.000 0.000 0.000

**Excess energy over the best structure of this formula in the dataset**: 208 meV/atom
**D(E_F)**: 0.211 states/eV per atom
**Crystal system**: cubic
**Total DFT energy (no corrections)**: -4.7 eV per cell
**Energy of formation from the pure elements**: 20.2 kJ/mol of atoms
**Space-group type**: Fm-3m, No. 225

Compound: NaCa2CoSi
Source: Alexandria via LeMat-Bulk
Functional: PBE
Structure: optimized geometry

a b c (Å): 5.426 5.426 4.410
angles (deg): 90.00 90.00 90.00
Fractional positions:
Na 0.500 0.500 0.500
Ca 0.000 0.500 0.000
Ca 0.500 0.000 0.000
Co 0.000 0.000 0.000
Si 0.000 0.000 0.500

**Formation energy from raw total energies**: -78 meV/atom
**D(E_F)**: 0.633 states/eV per atom
**Crystal system**: tetragonal
**Total DFT energy (no corrections)**: -18.2 eV per cell
**Space-group type**: P4/mmm, No. 123

Compound: OsAuBr2
Source: Alexandria via LeMat-Bulk
Functional: PBE
Structure: optimized geometry

a b c (Å): 3.145 6.139 5.382
angles (deg): 49.29 90.00 90.00
Fractional positions:
Os 0.500 0.500 0.500
Au 0.000 0.000 0.500
Br 0.000 0.000 0.000
Br 0.500 0.500 0.000

**Formation energy from raw total energies**: 1159 meV/atom
**Excess energy over the best structure of this formula in the dataset**: 730 meV/atom
**D(E_F)**: 0.904 states/eV per atom
**Crystal system**: monoclinic
**Total DFT energy (no corrections)**: -13.2 eV per cell
**Space-group type**: P2/m, No. 10

Compound: AcAl3Sn3
Source: Alexandria via LeMat-Bulk
Functional: PBE
Structure: optimized geometry

a b c (Å): 7.547 7.547 7.547
angles (deg): 90.00 90.00 90.00
Fractional positions:
Ac 0.500 0.500 0.500
Ac 0.000 0.000 0.000
Sn 0.250 0.000 0.500
Sn 0.000 0.500 0.250
Sn 0.500 0.750 0.000
Sn 0.750 0.000 0.500
Sn 0.000 0.500 0.750
Sn 0.500 0.250 0.000
Al 0.000 0.250 0.500
Al 0.000 0.750 0.500
Al 0.500 0.000 0.750
Al 0.750 0.500 0.000
Al 0.500 0.000 0.250
Al 0.250 0.500 0.000

**D(E_F)**: 0.384 states/eV per atom
**Crystal system**: cubic
**Total DFT energy (no corrections)**: -53.0 eV per cell
**Energy of formation from the pure elements**: 11.7 kJ/mol of atoms
**Space-group type**: Pm-3n, No. 223

Compound: PrTmPtPb
Source: Alexandria via LeMat-Bulk
Functional: PBE
Structure: optimized geometry

a b c (Å): 5.264 5.264 5.264
angles (deg): 60.00 60.00 60.00
Fractional positions:
Pb 0.750 0.750 0.750
Pr 0.000 0.000 0.000
Tm 0.500 0.500 0.500
Pt 0.250 0.250 0.250

**D(E_F)**: 0.451 states/eV per atom
**Crystal system**: cubic
**Total DFT energy (no corrections)**: -21.7 eV per cell
**Energy of formation from the pure elements**: -65.7 kJ/mol of atoms
**Space-group type**: F-43m, No. 216

Compound: HoTm2In3Te6
Source: Alexandria via LeMat-Bulk
Functional: PBE
Structure: optimized geometry

a b c (Å): 7.590 7.590 8.502
angles (deg): 98.56 98.56 120.00
Fractional positions:
Ho 0.000 0.000 0.000
Tm 0.333 0.667 0.000
Tm 0.667 0.333 0.000
In 0.166 0.834 0.500
In 0.834 0.166 0.500
In 0.500 0.500 0.500
Te 0.928 0.593 0.784
Te 0.737 0.737 0.216
Te 0.072 0.407 0.216
Te 0.593 0.928 0.784
Te 0.263 0.263 0.784
Te 0.407 0.072 0.216

**Formation energy from raw total energies**: -949 meV/atom
**D(E_F)**: 0.072 states/eV per atom
**Crystal system**: monoclinic
**Total DFT energy (no corrections)**: -52.0 eV per cell
**Space-group type**: C2/m, No. 12

Compound: PmMnPt
Source: Alexandria via LeMat-Bulk
Functional: PBE
Structure: optimized geometry

a b c (Å): 5.953 5.950 7.157
angles (deg): 89.98 90.00 90.00
Site moments in Bohr magnetons follow the coordinates.
Fractional positions:
Pt 0.500 0.250 0.733  0.14
Pt 0.000 0.250 0.267  0.14
Pt 0.500 0.750 0.267  0.14
Pt 0.000 0.750 0.733  0.14
Pm 0.000 0.750 0.159  -0.10
Pm 0.500 0.250 0.159  -0.10
Pm 0.000 0.250 0.841  -0.10
Pm 0.500 0.750 0.841  -0.10
Mn 0.250 0.000 0.500  3.62
Mn 0.250 0.500 0.500  3.62
Mn 0.750 0.000 0.500  3.62
Mn 0.750 0.500 0.500  3.62

**D(E_F)**: 0.937 states/eV per atom
**Crystal system**: tetragonal
**Total DFT energy (no corrections)**: -86.9 eV per cell
**Energy of formation from the pure elements**: -56.8 kJ/mol of atoms
**Space-group type**: P4/nmm, No. 129

Compound: Tb5GaRh2
Source: Alexandria via LeMat-Bulk
Functional: PBE
Structure: optimized geometry

a b c (Å): 7.733 7.733 8.569
angles (deg): 116.82 116.82 90.00
Fractional positions:
Tb 0.522 0.699 0.721
Tb 0.801 0.978 0.279
Tb 0.000 0.000 0.000
Tb 0.500 0.500 0.000
Tb 0.199 0.022 0.721
Tb 0.699 0.199 0.721
Tb 0.022 0.522 0.721
Tb 0.301 0.801 0.279
Tb 0.978 0.478 0.279
Tb 0.478 0.301 0.279
Ga 0.750 0.750 0.500
Ga 0.250 0.250 0.500
Rh 0.137 0.363 0.000
Rh 0.637 0.137 0.000
Rh 0.363 0.863 0.000
Rh 0.863 0.637 0.000

**D(E_F)**: 0.952 states/eV per atom
**Crystal system**: tetragonal
**Total DFT energy (no corrections)**: -91.9 eV per cell
**Energy of formation from the pure elements**: -60.8 kJ/mol of atoms
**Space-group type**: I4/mcm, No. 140

Compound: In3SBr7
Source: Alexandria via LeMat-Bulk
Functional: PBE
Structure: optimized geometry

a b c (Å): 7.850 7.850 7.923
angles (deg): 75.81 60.30 60.00
Fractional positions:
In 0.055 0.272 0.618
In 0.584 0.743 0.618
In 0.055 0.743 0.618
S 0.796 0.586 0.822
Br 0.350 0.920 0.381
Br 0.288 0.595 0.828
Br 0.856 0.912 0.376
Br 0.288 0.083 0.829
Br 0.800 0.083 0.829
Br 0.346 0.422 0.375
Br 0.856 0.422 0.375

**Formation energy from raw total energies**: -759 meV/atom
**D(E_F)**: 0.000 states/eV per atom
**Crystal system**: monoclinic
**Total DFT energy (no corrections)**: -32.4 eV per cell
**Space-group type**: Cm, No. 8

Compound: ZrAl2BIr
Source: Alexandria via LeMat-Bulk
Functional: PBE
Structure: optimized geometry

a b c (Å): 4.595 5.161 4.595
angles (deg): 90.00 90.00 90.00
Fractional positions:
B 0.500 0.500 0.500
Ir 0.000 0.000 0.000
Al 0.000 0.000 0.500
Al 0.500 0.000 0.000
Zr 0.000 0.500 0.000

**D(E_F)**: 0.601 states/eV per atom
**Crystal system**: tetragonal
**Total DFT energy (no corrections)**: -28.4 eV per cell
**Energy of formation from the pure elements**: 61.9 kJ/mol of atoms
**Space-group type**: P4/mmm, No. 123

Compound: Hf3ZrIn4
Source: Alexandria via LeMat-Bulk
Functional: PBE
Structure: optimized geometry

a b c (Å): 5.411 6.318 10.239
angles (deg): 90.00 90.00 90.00
Fractional positions:
Hf 0.000 0.000 0.000
Hf 0.000 0.000 0.500
Hf 0.682 0.000 0.750
Hf 0.318 0.000 0.250
Hf 0.674 0.500 0.750
Hf 0.326 0.500 0.250
Zr 0.000 0.500 0.000
Zr 0.000 0.500 0.500
In 0.500 0.751 0.000
In 0.500 0.751 0.500
In 0.500 0.249 0.000
In 0.500 0.249 0.500
In 0.167 0.751 0.750
In 0.833 0.751 0.250
In 0.833 0.249 0.250
In 0.167 0.249 0.750

**Excess energy over the best structure of this formula in the dataset**: 0 meV/atom
**D(E_F)**: 0.948 states/eV per atom
**Crystal system**: orthorhombic
**Total DFT energy (no corrections)**: -101.3 eV per cell
**Energy of formation from the pure elements**: -15.6 kJ/mol of atoms
**Space-group type**: Pmma, No. 51

Compound: Cd2TcOs
Source: Alexandria via LeMat-Bulk
Functional: PBE
Structure: optimized geometry

a b c (Å): 4.598 4.598 4.598
angles (deg): 60.00 60.00 60.00
Site moments in Bohr magnetons follow the coordinates.
Fractional positions:
Os 0.500 0.500 0.500  0.27
Tc 0.000 0.000 0.000  1.50
Cd 0.250 0.250 0.250  0.01
Cd 0.750 0.750 0.750  0.01

**Excess energy over the best structure of this formula in the dataset**: 732 meV/atom
**D(E_F)**: 1.364 states/eV per atom
**Crystal system**: cubic
**Total DFT energy (no corrections)**: -19.9 eV per cell
**Energy of formation from the pure elements**: 85.9 kJ/mol of atoms
**Space-group type**: Fm-3m, No. 225

Compound: YMo2Rh
Source: Alexandria via LeMat-Bulk
Functional: PBE
Structure: optimized geometry

a b c (Å): 2.888 2.888 8.594
angles (deg): 90.00 90.00 90.00
Fractional positions:
Mo 0.000 0.000 0.024
Mo 0.500 0.500 0.273
Rh 0.000 0.000 0.470
Y 0.500 0.500 0.733

**Excess energy over the best structure of this formula in the dataset**: 209 meV/atom
**D(E_F)**: 1.273 states/eV per atom
**Crystal system**: tetragonal
**Total DFT energy (no corrections)**: -34.8 eV per cell
**Energy of formation from the pure elements**: 16.9 kJ/mol of atoms
**Space-group type**: P4mm, No. 99

Compound: PrSmCu2
Source: Alexandria via LeMat-Bulk
Functional: PBE
Structure: optimized geometry

a b c (Å): 3.580 3.580 7.175
angles (deg): 90.00 90.00 90.00
Fractional positions:
Pr 0.500 0.500 0.500
Cu 0.000 0.000 0.765
Cu 0.000 0.000 0.235
Sm 0.500 0.500 0.000

**Excess energy over the best structure of this formula in the dataset**: 28 meV/atom
**D(E_F)**: 0.787 states/eV per atom
**Crystal system**: tetragonal
**Total DFT energy (no corrections)**: -18.3 eV per cell
**Energy of formation from the pure elements**: -14.7 kJ/mol of atoms
**Space-group type**: P4/mmm, No. 123